[1]
The following is a PBE-GGA calculation of a geometry-optimized Nb4CoSiN2 structure, from OQMD.

abc: 3.1613 3.1613 12.5215
angles: 90.00 90.00 120.00
Space group P-6m2 (No. 187)
Symmetry-distinct sites (fractional):
Nb 0.0000 0.0000 0.1519
Nb 0.3333 0.6667 0.3448
Co 0.3333 0.6667 0.0000
Si 0.0000 0.0000 0.5000
N 0.6667 0.3333 0.2465

Properties
Calculated density = 7.457 g/cm3
Final energy = -73.7 eV per formula unit

---

[2]
The following is a PBE-GGA calculation of a geometry-optimized Nb4CoSnN2 structure, from OQMD.

abc: 3.1708 3.1708 13.2992
angles: 90.00 90.00 120.00
Space group P-6m2 (No. 187)
Symmetry-distinct sites (fractional):
Nb 0.0000 0.0000 0.1428
Nb 0.6667 0.3333 0.3223
Co 0.6667 0.3333 0.0000
Sn 0.0000 0.0000 0.5000
N 0.3333 0.6667 0.2326

Properties
Calculated density = 8.279 g/cm3
Final energy = -71.8 eV per formula unit

---

[3]
The following is a PBE-GGA calculation of a geometry-optimized Ta4Nb2Co3N3 structure, from OQMD.

abc: 9.0350 5.1858 13.4552
angles: 90.00 102.96 90.00
Space group C2/c (No. 15)
Symmetry-distinct sites (fractional):
Ta 0.1135 0.0900 0.0933
Ta 0.2212 0.0824 0.4068
Nb 0.0365 0.4181 0.8675
Co 0.0000 0.1107 0.2500
Co 0.2382 0.1751 0.7488
N 0.0781 0.2661 0.5000
N 0.2500 0.2500 0.0000

Properties
Calculated density = 12.200 g/cm3
Final energy = -120.5 eV per formula unit

---

[4]
The following is a PBE-GGA calculation of a geometry-optimized Nb4TlCoN2 structure, from OQMD.

abc: 3.1535 3.1535 13.5970
angles: 90.00 90.00 120.00
Space group P-6m2 (No. 187)
Symmetry-distinct sites (fractional):
Nb 0.0000 0.0000 0.1407
Nb 0.3333 0.6667 0.3182
Tl 0.0000 0.0000 0.5000
Co 0.3333 0.6667 0.0000
N 0.6667 0.3333 0.2296

Properties
Calculated density = 9.401 g/cm3
Final energy = -69.7 eV per formula unit

---

[5]
The following is a PBE-GGA calculation of a geometry-optimized Nb2Co3W4N3 structure, from OQMD.

abc: 8.7007 5.0688 13.5750
angles: 90.00 102.32 90.00
Space group C2/c (No. 15)
Symmetry-distinct sites (fractional):
Nb 0.0392 0.0797 0.3717
Co 0.0000 0.3619 0.7500
Co 0.2248 0.3093 0.2514
W 0.1150 0.4251 0.5941
W 0.2153 0.4180 0.9053
N 0.0757 0.2245 0.0001
N 0.2500 0.2500 0.5000

Properties
Calculated density = 12.946 g/cm3
Final energy = -120.5 eV per formula unit

---

[6]
The following is a PBE-GGA calculation of a geometry-optimized Nb4Co3W2N3 structure, from OQMD.

abc: 8.8553 5.1451 13.8891
angles: 90.00 101.77 90.00
Space group C2/c (No. 15)
Symmetry-distinct sites (fractional):
Nb 0.1117 0.0968 0.0906
Nb 0.2238 0.0819 0.4092
Co 0.0000 0.0765 0.2500
Co 0.2468 0.3416 0.2520
W 0.0280 0.4129 0.8400
N 0.0813 0.2532 0.5038
N 0.2500 0.2500 0.0000

Properties
Calculated density = 10.273 g/cm3
Final energy = -115.3 eV per formula unit